(1)
ScTiH3 | PBE | relaxed

The structure in extended XYZ format:
```
20
Lattice="5.042 0.000 0.000 0.000 5.791 -0.062 0.000 -0.967 6.207" Properties=species:S:1:pos:R:3 pbc="T T T"
Sc 1.182 1.831 1.966
Sc 3.703 3.477 1.075
Sc 1.339 1.347 5.070
Sc 3.860 2.993 4.179
Ti 3.827 -0.270 5.812
Ti 1.215 5.094 0.333
Ti 3.736 0.214 2.708
Ti 1.306 4.610 3.437
H 2.634 0.471 1.102
H 0.113 4.837 1.939
H 2.014 0.589 3.344
H 4.929 -0.013 4.206
H 4.230 2.025 2.409
H 1.709 3.282 0.633
H 2.408 4.353 5.043
H 0.507 1.073 0.240
H 3.028 4.234 2.801
H 3.333 1.541 5.512
H 0.812 2.799 3.737
H 4.535 3.751 5.905
```

Density of states at the Fermi level, states/eV/f.u.: 3.153
Raw total energy, eV/cell: -105.8



(2)
Mg2MnTcH | PBE | relaxed

The structure in extended XYZ format:
```
5
Lattice="4.189 0.000 0.000 0.000 3.850 0.000 0.000 0.000 4.189" Properties=species:S:1:pos:R:3 pbc="T T T"
H 0.000 0.000 0.000
Mn 2.095 1.925 2.095
Mg 0.000 0.000 2.095
Mg 2.095 0.000 0.000
Tc 0.000 1.925 0.000
```

Density of states at the Fermi level, states/eV/f.u.: 3.587
Raw total energy, eV/cell: -25.0



(3)
TbSmEr2Se4 | PBE | relaxed

The structure in extended XYZ format:
```
8
Lattice="-0.865 -1.451 -3.655 -2.676 -5.962 3.000 -6.859 0.974 1.236" Properties=species:S:1:pos:R:3 pbc="T T T"
Sm -1.770 -3.706 -0.327
Tb -4.767 -2.494 2.118
Se -4.177 -5.003 0.757
Se -3.265 -2.628 -2.620
Se -7.134 -3.811 3.201
Se -6.222 -1.436 -0.176
Er -6.859 0.974 1.236
Er -3.862 -0.239 -1.209
```

Density of states at the Fermi level, states/eV/f.u.: 4.298
Raw total energy, eV/cell: -46.4



Q: Look up the raw total energy of the second one.
A: -25.0 eV/cell



Q: Number 1 is which compound?
A: ScTiH3



Q: Among the records above, which one has the lowest raw total energy?
A: ScTiH3